The following is a DFT calculation (PBE) of an optimized crystal structure of SbAsAu2.

Output
Volume in Å³ per atom: 20.66
Energy in Ry/atom: -0.2629

Cell lengths 6.9139, 6.9139, 6.9139 Å; angles 90.00, 90.00, 90.00 degrees
Fractional coordinates of all 16 atoms:
1 Sb 0.0000 0.0000 0.0000
2 Sb 0.0000 0.5000 0.5000
3 Sb 0.5000 0.0000 0.5000
4 Sb 0.5000 0.5000 0.0000
5 As 0.2500 0.2500 0.7500
6 As 0.2500 0.7500 0.2500
7 As 0.7500 0.2500 0.2500
8 As 0.7500 0.7500 0.7500
9 Au 0.0000 0.0000 0.5000
10 Au 0.0000 0.5000 0.0000
11 Au 0.2500 0.2500 0.2500
12 Au 0.2500 0.7500 0.7500
13 Au 0.5000 0.0000 0.0000
14 Au 0.5000 0.5000 0.5000
15 Au 0.7500 0.2500 0.7500
16 Au 0.7500 0.7500 0.2500